1.
Be2AsBr: optimized geometry, PBE.

Properties
- Energy above the lowest structure with this stoichiometry: 717 meV/atom

a = 2.997 Å, b = 5.855 Å, c = 9.499 Å
α = 90.00°, β = 90.00°, γ = 90.00°
Space group Cmm2 (No. 35)
Unique sites:
Be1 0.000 0.000 0.000 [2 per cell]
Be2 0.000 0.500 0.198 [2 per cell]
As1 0.000 0.500 0.810 [2 per cell]
Br1 0.000 0.000 0.360 [2 per cell]



2.
BeAsBr2: optimized geometry, PBE.

Properties
- Energy above the lowest structure with this stoichiometry: 255 meV/atom

a = 12.836 Å, b = 3.233 Å, c = 5.417 Å
α = 90.00°, β = 104.98°, γ = 90.00°
Space group C2/m (No. 12)
Unique sites:
Be1 0.000 0.000 0.000 [2 per cell]
As1 0.000 0.500 0.500 [2 per cell]
Br1 0.127 0.500 0.174 [4 per cell]



Record order is preserved below.
Formation energy without anion corrections: 9.7; 0.4 kcal/mol of atoms
Record order is preserved below.
Final energy: -24.20; -23.29 eV per cell